(1)
A relaxed AlNiHg2 crystal, computed with PBE.

```
AlNiHg2
1.0
2.870 -3.902 0.000
2.870 3.902 0.000
0.000 0.000 3.162
Al Ni Hg
1 1 2
Cartesian
0.000 0.000 0.000
2.870 0.000 0.000
1.435 1.951 1.581
1.435 -1.951 1.581
```

Spin magnetization: 0.00 Bohr magnetons per cell
Crystal system: orthorhombic
Total energy: -2.302 eV/atom

---

(2)
A relaxed HfSb2As crystal, computed with PBE.

```
HfSb2As
1.0
-3.271 3.271 6.348
3.271 -3.271 6.348
3.271 3.271 -6.348
Hf Sb As
2 4 2
Cartesian
0.000 0.000 0.000
0.000 3.271 3.174
1.636 -1.619 4.761
1.652 1.636 1.587
1.636 4.890 -1.587
1.619 1.636 7.935
3.271 0.000 3.174
0.000 0.000 6.348
```

Spin magnetization: 1.62 Bohr magnetons per cell
Crystal system: tetragonal
Formation energy without anion corrections: 0.325 eV/atom

---

(3)
A relaxed Rb3Li2US6 crystal, computed with PBE.

```
Rb3Li2US6
1.0
3.464 -6.073 0.000
3.464 6.073 0.000
-2.238 0.000 7.552
Rb Li U S
3 2 1 6
Cartesian
0.000 0.000 0.000
3.464 2.146 0.000
3.464 -2.146 0.000
2.345 4.046 3.776
2.345 -4.046 3.776
2.345 0.000 3.776
1.235 1.863 2.387
0.246 0.000 5.245
1.235 -1.863 2.387
3.454 1.863 5.165
4.444 0.000 2.307
3.454 -1.863 5.165
```

Spin magnetization: 0.88 Bohr magnetons per cell
Crystal system: monoclinic
Formation energy without anion corrections: -1.117 eV/atom

---

(4)
A relaxed CrTeRu2 crystal, computed with PBE.

```
CrTeRu2
1.0
-1.952 1.952 4.026
1.952 -1.952 4.026
1.952 1.952 -4.026
Cr Te Ru
1 1 2
Cartesian
0.000 0.000 0.000
1.952 0.000 2.013
0.000 0.000 4.026
0.000 1.952 2.013
```

Spin magnetization: 2.10 Bohr magnetons per cell
Crystal system: tetragonal
Formation energy without anion corrections: 0.297 eV/atom

---

(5)
A relaxed BaNbI2N crystal, computed with PBE.

```
BaNbI2N
1.0
5.954 0.000 0.000
0.000 5.954 0.000
0.000 0.000 4.056
Ba Nb I N
1 1 2 1
Cartesian
0.000 0.000 0.000
2.977 2.977 2.028
0.000 2.977 2.028
2.977 0.000 2.028
2.977 2.977 0.000
```

Spin magnetization: 1.20 Bohr magnetons per cell
E above lowest polymorph: 0.000 eV per atom
Crystal system: tetragonal
Formation energy without anion corrections: -0.551 eV/atom

---

(6)
A relaxed Na2IrPbN crystal, computed with PBE.

```
Na2IrPbN
1.0
5.047 0.000 0.000
0.000 5.047 0.000
0.000 0.000 3.773
Na Ir Pb N
2 1 1 1
Cartesian
0.000 2.523 0.000
2.523 0.000 0.000
0.000 0.000 1.886
2.523 2.523 1.886
0.000 0.000 0.000
```

Spin magnetization: 0.00 Bohr magnetons per cell
Crystal system: tetragonal
Formation energy without anion corrections: -0.008 eV/atom

---

(7)
A relaxed RbBaCa2In crystal, computed with PBE.

```
RbBaCa2In
1.0
6.889 0.000 0.000
0.000 6.889 0.000
0.000 0.000 6.380
Rb Ba Ca In
1 1 2 1
Cartesian
0.000 0.000 0.000
3.445 3.445 3.190
0.000 3.445 3.190
3.445 0.000 3.190
3.445 3.445 0.000
```

Spin magnetization: 1.76 Bohr magnetons per cell
Crystal system: tetragonal
Total energy: -1.368 eV/atom

---

(8)
A relaxed LaY4Th2 crystal, computed with PBE.

```
LaY4Th2
1.0
3.505 0.000 0.000
1.749 8.549 0.000
0.020 4.024 7.830
La Y Th
1 4 2
Cartesian
0.000 0.000 0.000
1.748 9.958 5.487
1.767 4.808 4.605
3.506 7.766 3.226
3.525 2.616 2.344
1.765 5.372 1.056
3.508 7.202 6.774
```

Spin magnetization: 0.00 Bohr magnetons per cell
E above lowest polymorph: 0.000 eV per atom
Crystal system: triclinic